# Cs2BaIO4 | Alexandria | PBE-GGA | optimized geometry
data_Cs2BaIO4
_chemical_formula_sum 'Cs2 Ba1 I1 O4'
_symmetry_space_group_name_H-M 'P 1'
_symmetry_Int_Tables_number 1
_cell_length_a 6.364
_cell_length_b 6.364
_cell_length_c 6.364
_cell_angle_alpha 101.49
_cell_angle_beta 113.60
_cell_angle_gamma 113.60
loop_
_symmetry_equiv_pos_as_xyz
'x,y,z'
loop_
_atom_site_label
_atom_site_type_symbol
_atom_site_fract_x
_atom_site_fract_y
_atom_site_fract_z
Cs1 Cs 0.500 0.750 0.250
Cs2 Cs 0.000 0.000 0.000
Ba1 Ba 0.500 0.250 0.750
I1 I 0.000 0.500 0.500
O1 O 0.592 0.299 0.388
O2 O 0.089 0.293 0.701
O3 O 0.911 0.612 0.205
O4 O 0.408 0.795 0.707
# V in Å³/cell: 196
# Raw formation energy in eV per atom: -1.270
# Total moment in Bohr magnetons per cell: 1.01

# NdIn2Hg4 | Alexandria | PBE-GGA | optimized geometry
data_NdIn2Hg4
_chemical_formula_sum 'Nd1 In2 Hg4'
_symmetry_space_group_name_H-M 'P 1'
_symmetry_Int_Tables_number 1
_cell_length_a 5.014
_cell_length_b 5.014
_cell_length_c 7.459
_cell_angle_alpha 90.00
_cell_angle_beta 90.00
_cell_angle_gamma 90.00
loop_
_symmetry_equiv_pos_as_xyz
'x,y,z'
loop_
_atom_site_label
_atom_site_type_symbol
_atom_site_fract_x
_atom_site_fract_y
_atom_site_fract_z
Nd1 Nd 0.500 0.500 0.000
Hg1 Hg 0.500 0.000 0.277
Hg2 Hg 0.000 0.500 0.723
Hg3 Hg 0.500 0.000 0.723
Hg4 Hg 0.000 0.500 0.277
In1 In 0.000 0.000 0.000
In2 In 0.500 0.500 0.500
# V in Å³/cell: 188
# DFT formation energy in meV per atom: -241
# Total moment in Bohr magnetons per cell: 0.00

# TmMgInPb | Alexandria | PBE-GGA | optimized geometry
data_TmMgInPb
_chemical_formula_sum 'Tm1 Mg1 In1 Pb1'
_symmetry_space_group_name_H-M 'P 1'
_symmetry_Int_Tables_number 1
_cell_length_a 4.475
_cell_length_b 4.650
_cell_length_c 4.826
_cell_angle_alpha 90.00
_cell_angle_beta 90.00
_cell_angle_gamma 90.00
loop_
_symmetry_equiv_pos_as_xyz
'x,y,z'
loop_
_atom_site_label
_atom_site_type_symbol
_atom_site_fract_x
_atom_site_fract_y
_atom_site_fract_z
Tm1 Tm 0.000 0.500 0.500
Mg1 Mg 0.000 0.000 0.000
In1 In 0.500 0.500 0.000
Pb1 Pb 0.500 0.000 0.500
# V in Å³/cell: 100
# DFT formation energy in meV per atom: -315
# Total moment in Bohr magnetons per cell: 0.00

# AgBiAsSe2 | Alexandria | PBE-GGA | optimized geometry
data_AgBiAsSe2
_chemical_formula_sum 'Ag1 Bi1 As1 Se2'
_symmetry_space_group_name_H-M 'P 1'
_symmetry_Int_Tables_number 1
_cell_length_a 5.106
_cell_length_b 5.106
_cell_length_c 4.964
_cell_angle_alpha 90.00
_cell_angle_beta 90.00
_cell_angle_gamma 90.00
loop_
_symmetry_equiv_pos_as_xyz
'x,y,z'
loop_
_atom_site_label
_atom_site_type_symbol
_atom_site_fract_x
_atom_site_fract_y
_atom_site_fract_z
As1 As 0.000 0.000 0.500
Se1 Se 0.000 0.500 0.000
Se2 Se 0.500 0.000 0.000
Bi1 Bi 0.500 0.500 0.500
Ag1 Ag 0.000 0.000 0.000
# V in Å³/cell: 129
# Raw formation energy in eV per atom: 0.521
# Total moment in Bohr magnetons per cell: 0.00

# K4Np3CoSe8 | Alexandria | PBE-GGA | optimized geometry
data_K4Np3CoSe8
_chemical_formula_sum 'K4 Np3 Co1 Se8'
_symmetry_space_group_name_H-M 'P 1'
_symmetry_Int_Tables_number 1
_cell_length_a 8.308
_cell_length_b 9.047
_cell_length_c 8.306
_cell_angle_alpha 117.31
_cell_angle_beta 120.01
_cell_angle_gamma 90.00
loop_
_symmetry_equiv_pos_as_xyz
'x,y,z'
loop_
_atom_site_label
_atom_site_type_symbol
_atom_site_fract_x
_atom_site_fract_y
_atom_site_fract_z
K1 K 0.500 0.000 0.000
K2 K 0.500 0.000 0.500
K3 K 0.000 0.000 0.000
K4 K 0.000 0.000 0.500
Np1 Np 0.500 0.500 0.000
Np2 Np 0.500 0.500 0.500
Np3 Np 0.000 0.500 0.500
Co1 Co 0.000 0.500 0.000
Se1 Se 0.227 0.698 0.970
Se2 Se 0.227 0.697 0.454
Se3 Se 0.264 0.291 0.527
Se4 Se 0.743 0.698 0.970
Se5 Se 0.257 0.302 0.030
Se6 Se 0.736 0.709 0.473
Se7 Se 0.773 0.303 0.546
Se8 Se 0.773 0.302 0.030
# V in Å³/cell: 458
# Raw formation energy in eV per atom: -1.055
# Total moment in Bohr magnetons per cell: 8.00

# Ca3TlP | Alexandria | PBE-GGA | optimized geometry
data_Ca3TlP
_chemical_formula_sum 'Ca3 Tl1 P1'
_symmetry_space_group_name_H-M 'P 1'
_symmetry_Int_Tables_number 1
_cell_length_a 4.092
_cell_length_b 6.571
_cell_length_c 6.571
_cell_angle_alpha 76.12
_cell_angle_beta 90.00
_cell_angle_gamma 90.00
loop_
_symmetry_equiv_pos_as_xyz
'x,y,z'
loop_
_atom_site_label
_atom_site_type_symbol
_atom_site_fract_x
_atom_site_fract_y
_atom_site_fract_z
P1 P 0.000 0.534 0.466
Tl1 Tl 0.500 0.859 0.141
Ca1 Ca 0.500 0.337 0.291
Ca2 Ca 0.500 0.709 0.663
Ca3 Ca 0.000 0.189 0.811
# V in Å³/cell: 171
# DFT formation energy in meV per atom: -440
# Total moment in Bohr magnetons per cell: 0.00

# MgSe | Alexandria | PBE-GGA | optimized geometry
data_MgSe
_chemical_formula_sum 'Mg1 Se1'
_symmetry_space_group_name_H-M 'P 1'
_symmetry_Int_Tables_number 1
_cell_length_a 3.897
_cell_length_b 3.897
_cell_length_c 3.897
_cell_angle_alpha 60.00
_cell_angle_beta 60.00
_cell_angle_gamma 60.00
loop_
_symmetry_equiv_pos_as_xyz
'x,y,z'
loop_
_atom_site_label
_atom_site_type_symbol
_atom_site_fract_x
_atom_site_fract_y
_atom_site_fract_z
Mg1 Mg 0.500 0.500 0.500
Se1 Se 0.000 0.000 0.000
# V in Å³/cell: 42
# Raw formation energy in eV per atom: -1.242
# Total moment in Bohr magnetons per cell: 0.00

# AcPmTh | Alexandria | PBE-GGA | optimized geometry
data_AcPmTh
_chemical_formula_sum 'Ac1 Pm1 Th1'
_symmetry_space_group_name_H-M 'P 1'
_symmetry_Int_Tables_number 1
_cell_length_a 3.733
_cell_length_b 3.733
_cell_length_c 8.372
_cell_angle_alpha 102.88
_cell_angle_beta 102.88
_cell_angle_gamma 90.00
loop_
_symmetry_equiv_pos_as_xyz
'x,y,z'
loop_
_atom_site_label
_atom_site_type_symbol
_atom_site_fract_x
_atom_site_fract_y
_atom_site_fract_z
Ac1 Ac 0.008 0.008 0.016
Th1 Th 0.671 0.671 0.342
Pm1 Pm 0.321 0.321 0.642
# V in Å³/cell: 111
# DFT formation energy in meV per atom: 76
# Total moment in Bohr magnetons per cell: 0.00

# KNbS2 | Alexandria | PBE-GGA | optimized geometry
data_KNbS2
_chemical_formula_sum 'K1 Nb1 S2'
_symmetry_space_group_name_H-M 'P 1'
_symmetry_Int_Tables_number 1
_cell_length_a 4.746
_cell_length_b 4.746
_cell_length_c 4.746
_cell_angle_alpha 60.00
_cell_angle_beta 60.00
_cell_angle_gamma 60.00
loop_
_symmetry_equiv_pos_as_xyz
'x,y,z'
loop_
_atom_site_label
_atom_site_type_symbol
_atom_site_fract_x
_atom_site_fract_y
_atom_site_fract_z
S1 S 0.250 0.250 0.250
S2 S 0.750 0.750 0.750
Nb1 Nb 0.500 0.500 0.500
K1 K 0.000 0.000 0.000
# V in Å³/cell: 76
# Raw formation energy in eV per atom: -0.356
# Total moment in Bohr magnetons per cell: 2.00

# PmSnH8Rh4 | Alexandria | PBE-GGA | optimized geometry
data_PmSnH8Rh4
_chemical_formula_sum 'Pm1 Sn1 H8 Rh4'
_symmetry_space_group_name_H-M 'P 1'
_symmetry_Int_Tables_number 1
_cell_length_a 5.904
_cell_length_b 5.904
_cell_length_c 5.721
_cell_angle_alpha 58.94
_cell_angle_beta 58.94
_cell_angle_gamma 60.00
loop_
_symmetry_equiv_pos_as_xyz
'x,y,z'
loop_
_atom_site_label
_atom_site_type_symbol
_atom_site_fract_x
_atom_site_fract_y
_atom_site_fract_z
Pm1 Pm 0.384 0.384 0.848
Sn1 Sn 0.991 0.991 0.026
H1 H 0.264 0.841 0.632
H2 H 0.841 0.264 0.632
H3 H 0.264 0.264 0.632
H4 H 0.216 0.216 0.351
H5 H 0.676 0.289 0.358
H6 H 0.289 0.676 0.358
H7 H 0.676 0.676 0.358
H8 H 0.766 0.766 0.702
Rh1 Rh 0.630 0.630 0.110
Rh2 Rh 0.998 0.505 0.498
Rh3 Rh 0.505 0.998 0.498
Rh4 Rh 0.998 0.998 0.498
# V in Å³/cell: 139
# Uncorrected energy in eV/atom: -4.772
# Total moment in Bohr magnetons per cell: 0.00

# La2BiH2 | Alexandria | PBE-GGA | optimized geometry
data_La2BiH2
_chemical_formula_sum 'La2 Bi1 H2'
_symmetry_space_group_name_H-M 'P 1'
_symmetry_Int_Tables_number 1
_cell_length_a 4.180
_cell_length_b 4.180
_cell_length_c 6.827
_cell_angle_alpha 107.83
_cell_angle_beta 107.83
_cell_angle_gamma 90.00
loop_
_symmetry_equiv_pos_as_xyz
'x,y,z'
loop_
_atom_site_label
_atom_site_type_symbol
_atom_site_fract_x
_atom_site_fract_y
_atom_site_fract_z
La1 La 0.646 0.646 0.292
La2 La 0.354 0.354 0.708
Bi1 Bi 0.000 0.000 0.000
H1 H 0.750 0.250 0.500
H2 H 0.250 0.750 0.500
# V in Å³/cell: 108
# Uncorrected energy in eV/atom: -4.873
# Total moment in Bohr magnetons per cell: 0.00

# Sc6NO5 | Alexandria | PBE-GGA | optimized geometry
data_Sc6NO5
_chemical_formula_sum 'Sc6 N1 O5'
_symmetry_space_group_name_H-M 'P 1'
_symmetry_Int_Tables_number 1
_cell_length_a 5.497
_cell_length_b 5.497
_cell_length_c 5.492
_cell_angle_alpha 99.52
_cell_angle_beta 99.52
_cell_angle_gamma 120.05
loop_
_symmetry_equiv_pos_as_xyz
'x,y,z'
loop_
_atom_site_label
_atom_site_type_symbol
_atom_site_fract_x
_atom_site_fract_y
_atom_site_fract_z
Sc1 Sc 0.919 0.595 0.757
Sc2 Sc 0.405 0.081 0.243
Sc3 Sc 0.756 0.756 0.242
Sc4 Sc 0.244 0.244 0.758
Sc5 Sc 0.595 0.919 0.757
Sc6 Sc 0.081 0.405 0.243
O1 O 0.832 0.168 0.500
O2 O 0.667 0.333 0.000
O3 O 0.500 0.500 0.500
O4 O 0.333 0.667 0.000
O5 O 0.168 0.832 0.500
N1 N 0.000 0.000 0.000
# V in Å³/cell: 136
# Raw formation energy in eV per atom: -2.784
# Total moment in Bohr magnetons per cell: 0.00

# KTi3Sb | Alexandria | PBE-GGA | optimized geometry
data_KTi3Sb
_chemical_formula_sum 'K1 Ti3 Sb1'
_symmetry_space_group_name_H-M 'P 1'
_symmetry_Int_Tables_number 1
_cell_length_a 4.612
_cell_length_b 4.612
_cell_length_c 4.612
_cell_angle_alpha 90.00
_cell_angle_beta 90.00
_cell_angle_gamma 90.00
loop_
_symmetry_equiv_pos_as_xyz
'x,y,z'
loop_
_atom_site_label
_atom_site_type_symbol
_atom_site_fract_x
_atom_site_fract_y
_atom_site_fract_z
Sb1 Sb 0.500 0.500 0.500
K1 K 0.000 0.000 0.000
Ti1 Ti 0.000 0.500 0.000
Ti2 Ti 0.000 0.000 0.500
Ti3 Ti 0.500 0.000 0.000
# V in Å³/cell: 98
# Raw formation energy in eV per atom: 1.723
# Total moment in Bohr magnetons per cell: 2.76

# ThCdHg2 | Alexandria | PBE-GGA | optimized geometry
data_ThCdHg2
_chemical_formula_sum 'Th1 Cd1 Hg2'
_symmetry_space_group_name_H-M 'P 1'
_symmetry_Int_Tables_number 1
_cell_length_a 4.284
_cell_length_b 4.934
_cell_length_c 4.934
_cell_angle_alpha 90.00
_cell_angle_beta 90.00
_cell_angle_gamma 90.00
loop_
_symmetry_equiv_pos_as_xyz
'x,y,z'
loop_
_atom_site_label
_atom_site_type_symbol
_atom_site_fract_x
_atom_site_fract_y
_atom_site_fract_z
Hg1 Hg 0.000 0.000 0.500
Hg2 Hg 0.000 0.500 0.000
Th1 Th 0.500 0.500 0.500
Cd1 Cd 0.500 0.000 0.000
# V in Å³/cell: 104
# DFT formation energy in meV per atom: -160
# Total moment in Bohr magnetons per cell: 0.00

# TcIrBr | Alexandria | PBE-GGA | optimized geometry
data_TcIrBr
_chemical_formula_sum 'Tc1 Ir1 Br1'
_symmetry_space_group_name_H-M 'P 1'
_symmetry_Int_Tables_number 1
_cell_length_a 7.740
_cell_length_b 7.460
_cell_length_c 2.881
_cell_angle_alpha 84.60
_cell_angle_beta 73.64
_cell_angle_gamma 21.75
loop_
_symmetry_equiv_pos_as_xyz
'x,y,z'
loop_
_atom_site_label
_atom_site_type_symbol
_atom_site_fract_x
_atom_site_fract_y
_atom_site_fract_z
Ir1 Ir 0.317 0.317 0.683
Tc1 Tc 0.671 0.671 0.329
Br1 Br 0.012 0.012 0.988
# V in Å³/cell: 52
# Raw formation energy in eV per atom: 0.801
# Total moment in Bohr magnetons per cell: 0.71

# BaGdGa | Alexandria | PBE-GGA | optimized geometry
data_BaGdGa
_chemical_formula_sum 'Ba1 Gd1 Ga1'
_symmetry_space_group_name_H-M 'P 1'
_symmetry_Int_Tables_number 1
_cell_length_a 3.870
_cell_length_b 3.870
_cell_length_c 7.399
_cell_angle_alpha 105.16
_cell_angle_beta 105.16
_cell_angle_gamma 90.00
loop_
_symmetry_equiv_pos_as_xyz
'x,y,z'
loop_
_atom_site_label
_atom_site_type_symbol
_atom_site_fract_x
_atom_site_fract_y
_atom_site_fract_z
Gd1 Gd 0.287 0.287 0.575
Ba1 Ba 0.023 0.023 0.047
Ga1 Ga 0.689 0.689 0.378
# V in Å³/cell: 103
# DFT formation energy in meV per atom: -245
# Total moment in Bohr magnetons per cell: 7.53

# Ba2MgMn | Alexandria | PBE-GGA | optimized geometry
data_Ba2MgMn
_chemical_formula_sum 'Ba2 Mg1 Mn1'
_symmetry_space_group_name_H-M 'P 1'
_symmetry_Int_Tables_number 1
_cell_length_a 5.117
_cell_length_b 4.899
_cell_length_c 6.975
_cell_angle_alpha 69.42
_cell_angle_beta 90.00
_cell_angle_gamma 90.00
loop_
_symmetry_equiv_pos_as_xyz
'x,y,z'
loop_
_atom_site_label
_atom_site_type_symbol
_atom_site_fract_x
_atom_site_fract_y
_atom_site_fract_z
Ba1 Ba 0.000 0.978 0.918
Ba2 Ba 0.500 0.268 0.338
Mg1 Mg 0.000 0.681 0.512
Mn1 Mn 0.500 0.572 0.732
# V in Å³/cell: 164
# DFT formation energy in meV per atom: 332
# Total moment in Bohr magnetons per cell: 3.73

# Sn2Au2F | Alexandria | PBE-GGA | optimized geometry
data_Sn2Au2F
_chemical_formula_sum 'Sn4 Au4 F2'
_symmetry_space_group_name_H-M 'P 1'
_symmetry_Int_Tables_number 1
_cell_length_a 7.173
_cell_length_b 7.173
_cell_length_c 4.197
_cell_angle_alpha 90.00
_cell_angle_beta 90.00
_cell_angle_gamma 90.00
loop_
_symmetry_equiv_pos_as_xyz
'x,y,z'
loop_
_atom_site_label
_atom_site_type_symbol
_atom_site_fract_x
_atom_site_fract_y
_atom_site_fract_z
Au1 Au 0.138 0.638 0.500
Au2 Au 0.638 0.862 0.500
Au3 Au 0.862 0.362 0.500
Au4 Au 0.362 0.138 0.500
Sn1 Sn 0.318 0.818 0.000
Sn2 Sn 0.818 0.682 0.000
Sn3 Sn 0.682 0.182 0.000
Sn4 Sn 0.182 0.318 0.000
F1 F 0.000 0.000 0.000
F2 F 0.500 0.500 0.000
# V in Å³/cell: 216
# Raw formation energy in eV per atom: -0.573
# Total moment in Bohr magnetons per cell: 0.00

# Pm5Pr3Ho4 | Alexandria | PBE-GGA | optimized geometry
data_Pm5Pr3Ho4
_chemical_formula_sum 'Pm5 Pr3 Ho4'
_symmetry_space_group_name_H-M 'P 1'
_symmetry_Int_Tables_number 1
_cell_length_a 7.242
_cell_length_b 11.464
_cell_length_c 13.073
_cell_angle_alpha 151.28
_cell_angle_beta 56.31
_cell_angle_gamma 129.27
loop_
_symmetry_equiv_pos_as_xyz
'x,y,z'
loop_
_atom_site_label
_atom_site_type_symbol
_atom_site_fract_x
_atom_site_fract_y
_atom_site_fract_z
Pm1 Pm 0.335 0.668 0.834
Pm2 Pm 0.500 0.000 0.500
Pm3 Pm 0.748 0.502 0.002
Pm4 Pm 0.252 0.498 0.998
Pm5 Pm 0.665 0.332 0.166
Pr1 Pr 0.588 0.169 0.334
Pr2 Pr 0.000 0.000 0.500
Pr3 Pr 0.412 0.831 0.666
Ho1 Ho 0.918 0.833 0.668
Ho2 Ho 0.836 0.669 0.834
Ho3 Ho 0.164 0.331 0.166
Ho4 Ho 0.082 0.167 0.332
# V in Å³/cell: 404
# DFT formation energy in meV per atom: 16
# Total moment in Bohr magnetons per cell: 0.00